The following is a DFT calculation (PBE with a Hubbard U) of crystalline TiMnAgO2 at its relaxed geometry.

The space group is P4/mmm (No. 123) and the conventional cell measures 3.828, 3.828 and 5.574 Å, with angles of 90.00, 90.00 and 90.00 degrees. The inequivalent atoms are Ti at (0.000, 0.000, 0.000), Mn at (0.500, 0.500, 0.500), Ag at (0.000, 0.000, 0.500) and O at (0.000, 0.500, 0.000).

Its crystal system is tetragonal. Its total energy is -6.693 eV per atom.